(1)
# CoMoAsI2, optimized geometry, DFT GGA-PBE
# Magnetic moment ... 1.54 μB per formula unit
# Uncorrected energy ... -19.45 eV for the cell shown
# Uncorrected formation energy ... 1.248 eV/atom
data_CoMoAsI2
_cell_length_a 5.3584
_cell_length_b 5.3584
_cell_length_c 4.5605
_cell_angle_alpha 90.00
_cell_angle_beta 90.00
_cell_angle_gamma 90.00
_space_group_name_H-M_alt 'P 4/m m m'
_space_group_IT_number 123
_space_group_name_Hall '-P 4 2'
loop_
_atom_site_label
_atom_site_type_symbol
_atom_site_fract_x
_atom_site_fract_y
_atom_site_fract_z
Co1 Co 0.0000 0.0000 0.0000
Mo1 Mo 0.0000 0.0000 0.5000
As1 As 0.5000 0.5000 0.0000
I1 I 0.0000 0.5000 0.5000



(2)
# Li2MgAu, optimized geometry, DFT GGA-PBE
# Formation enthalpy at 0 K ... -0.3024 eV/atom
# Magnetic moment ... 0.00 μB per formula unit
# Uncorrected energy ... -19.82 eV for the cell shown
data_Li2MgAu
_cell_length_a 5.4721
_cell_length_b 9.5664
_cell_length_c 3.0259
_cell_angle_alpha 90.00
_cell_angle_beta 117.86
_cell_angle_gamma 90.00
_space_group_name_H-M_alt 'C 1 2/m 1'
_space_group_IT_number 12
loop_
_space_group_symop_operation_xyz
'x,y,z'
'-x,-y,-z'
'-x,y,-z'
'x,-y,z'
'x+1/2,y+1/2,z'
'-x+1/2,-y+1/2,-z'
'-x+1/2,y+1/2,-z'
'x+1/2,-y+1/2,z'
loop_
_atom_site_label
_atom_site_type_symbol
_atom_site_fract_x
_atom_site_fract_y
_atom_site_fract_z
Li1 Li 0.2500 0.2500 0.0000
Mg1 Mg 0.0000 0.0000 0.5000
Au1 Au 0.0000 0.5000 0.5000



(3)
# MgP2Pb, optimized geometry, DFT GGA-PBE
# Formation enthalpy at 0 K ... -0.0218 eV/atom
# Magnetic moment ... 0.00 μB per formula unit
# Uncorrected energy ... -16.21 eV for the cell shown
data_MgP2Pb
_cell_length_a 3.5878
_cell_length_b 3.5878
_cell_length_c 6.5246
_cell_angle_alpha 90.00
_cell_angle_beta 90.00
_cell_angle_gamma 90.00
_space_group_name_H-M_alt 'P 4/m m m'
_space_group_IT_number 123
_space_group_name_Hall '-P 4 2'
loop_
_atom_site_label
_atom_site_type_symbol
_atom_site_fract_x
_atom_site_fract_y
_atom_site_fract_z
Mg1 Mg 0.0000 0.0000 0.0000
P1 P 0.5000 0.5000 0.1718
Pb1 Pb 0.0000 0.0000 0.5000



(4)
# DySc3Ru2, optimized geometry, DFT GGA-PBE
# Formation enthalpy at 0 K ... -0.4212 eV/atom
# Magnetic moment ... 0.00 μB per formula unit
# Uncorrected energy ... -44.68 eV for the cell shown
data_DySc3Ru2
_cell_length_a 3.2538
_cell_length_b 3.2538
_cell_length_c 11.5207
_cell_angle_alpha 90.00
_cell_angle_beta 90.00
_cell_angle_gamma 90.00
_space_group_name_H-M_alt 'P 4/m m m'
_space_group_IT_number 123
_space_group_name_Hall '-P 4 2'
loop_
_atom_site_label
_atom_site_type_symbol
_atom_site_fract_x
_atom_site_fract_y
_atom_site_fract_z
Dy1 Dy 0.0000 0.0000 0.0000
Sc1 Sc 0.5000 0.5000 0.2303
Sc2 Sc 0.5000 0.5000 0.5000
Ru1 Ru 0.0000 0.0000 0.3565



(5)
# Lu2CS, optimized geometry, DFT GGA-PBE
# Magnetic moment ... 0.00 μB per formula unit
# Uncorrected energy ... -83.34 eV for the cell shown
# Uncorrected formation energy ... -1.347 eV/atom
data_Lu2CS
_cell_length_a 3.6170
_cell_length_b 3.6170
_cell_length_c 18.5849
_cell_angle_alpha 90.00
_cell_angle_beta 90.00
_cell_angle_gamma 120.00
_space_group_name_H-M_alt 'R -3 m'
_space_group_IT_number 166
_space_group_name_Hall '-R 3 2"'
loop_
_atom_site_label
_atom_site_type_symbol
_atom_site_fract_x
_atom_site_fract_y
_atom_site_fract_z
Lu1 Lu 0.0000 0.0000 0.2362
C1 C 0.0000 0.0000 0.5000
S1 S 0.0000 0.0000 0.0000



(6)
# Ca2ZrPt, optimized geometry, DFT GGA-PBE
# Formation enthalpy at 0 K ... -0.1340 eV/atom
# Magnetic moment ... 0.00 μB per formula unit
# Uncorrected energy ... -19.13 eV for the cell shown
# Energy above the most stable polymorph in this dataset ... 291 meV/atom
data_Ca2ZrPt
_cell_length_a 4.2593
_cell_length_b 4.2593
_cell_length_c 5.1631
_cell_angle_alpha 90.00
_cell_angle_beta 90.00
_cell_angle_gamma 90.00
_space_group_name_H-M_alt 'P 4/m m m'
_space_group_IT_number 123
_space_group_name_Hall '-P 4 2'
loop_
_atom_site_label
_atom_site_type_symbol
_atom_site_fract_x
_atom_site_fract_y
_atom_site_fract_z
Ca1 Ca 0.0000 0.5000 0.0000
Zr1 Zr 0.0000 0.0000 0.5000
Pt1 Pt 0.5000 0.5000 0.5000



(7)
# HoMgZnSn, optimized geometry, DFT GGA-PBE
# Formation enthalpy at 0 K ... -0.4108 eV/atom
# Magnetic moment ... 0.00 μB per formula unit
# Uncorrected energy ... -13.09 eV for the cell shown
# Energy above the most stable polymorph in this dataset ... 0 meV/atom
data_HoMgZnSn
_cell_length_a 4.2828
_cell_length_b 4.5002
_cell_length_c 4.6004
_cell_angle_alpha 90.00
_cell_angle_beta 90.00
_cell_angle_gamma 90.00
_space_group_name_H-M_alt 'P m m m'
_space_group_IT_number 47
loop_
_space_group_symop_operation_xyz
'x,y,z'
'-x,-y,-z'
'-x,-y,z'
'x,y,-z'
'x,-y,-z'
'-x,y,z'
'-x,y,-z'
'x,-y,z'
loop_
_atom_site_label
_atom_site_type_symbol
_atom_site_fract_x
_atom_site_fract_y
_atom_site_fract_z
Ho1 Ho 0.0000 0.0000 0.0000
Mg1 Mg 0.0000 0.5000 0.5000
Zn1 Zn 0.5000 0.0000 0.5000
Sn1 Sn 0.5000 0.5000 0.0000



(8)
# Be2PtPbW, optimized geometry, DFT GGA-PBE
# Formation enthalpy at 0 K ... 1.0223 eV/atom
# Magnetic moment ... 0.00 μB per formula unit
# Uncorrected energy ... -25.04 eV for the cell shown
data_Be2PtPbW
_cell_length_a 4.5643
_cell_length_b 4.5643
_cell_length_c 4.8633
_cell_angle_alpha 90.00
_cell_angle_beta 90.00
_cell_angle_gamma 90.00
_space_group_name_H-M_alt 'P 4/m m m'
_space_group_IT_number 123
_space_group_name_Hall '-P 4 2'
loop_
_atom_site_label
_atom_site_type_symbol
_atom_site_fract_x
_atom_site_fract_y
_atom_site_fract_z
Be1 Be 0.0000 0.5000 0.0000
Pt1 Pt 0.0000 0.0000 0.5000
Pb1 Pb 0.5000 0.5000 0.5000
W1 W 0.0000 0.0000 0.0000



(9)
# Rb2HgI, optimized geometry, DFT GGA-PBE
# Magnetic moment ... 0.94 μB per formula unit
# Uncorrected energy ... -25.85 eV for the cell shown
# Energy above the most stable polymorph in this dataset ... 167 meV/atom
# Uncorrected formation energy ... -0.669 eV/atom
data_Rb2HgI
_cell_length_a 9.8343
_cell_length_b 9.8343
_cell_length_c 9.3636
_cell_angle_alpha 90.00
_cell_angle_beta 90.00
_cell_angle_gamma 90.00
_space_group_name_H-M_alt 'I -4 2 d'
_space_group_IT_number 122
_space_group_name_Hall 'I -4 2bw'
loop_
_atom_site_label
_atom_site_type_symbol
_atom_site_fract_x
_atom_site_fract_y
_atom_site_fract_z
Rb1 Rb 0.2383 0.2500 0.1250
Hg1 Hg 0.0000 0.0000 0.5000
I1 I 0.0000 0.0000 0.0000



(10)
# BiPb2Au9, optimized geometry, DFT GGA-PBE
# Formation enthalpy at 0 K ... -0.0275 eV/atom
# Magnetic moment ... 0.00 μB per formula unit
# Uncorrected energy ... -82.25 eV for the cell shown
data_BiPb2Au9
_cell_length_a 5.7481
_cell_length_b 5.7481
_cell_length_c 18.2803
_cell_angle_alpha 90.00
_cell_angle_beta 90.00
_cell_angle_gamma 120.00
_space_group_name_H-M_alt 'P 63/m m c'
_space_group_IT_number 194
_space_group_name_Hall '-P 6c 2c'
loop_
_atom_site_label
_atom_site_type_symbol
_atom_site_fract_x
_atom_site_fract_y
_atom_site_fract_z
Bi1 Bi 0.3333 0.6667 0.2500
Pb1 Pb 0.3333 0.6667 0.0466
Au1 Au 0.0000 0.0000 0.0000
Au2 Au 0.0000 0.0000 0.2500
Au3 Au 0.1689 0.3378 0.6233
Au4 Au 0.3333 0.6667 0.7500



(11)
# Li4InAg2, optimized geometry, DFT GGA-PBE
# Formation enthalpy at 0 K ... -0.1723 eV/atom
# Magnetic moment ... 0.00 μB per formula unit
# Uncorrected energy ... -34.61 eV for the cell shown
# Energy above the most stable polymorph in this dataset ... 34 meV/atom
data_Li4InAg2
_cell_length_a 5.8827
_cell_length_b 5.8827
_cell_length_c 7.7627
_cell_angle_alpha 90.00
_cell_angle_beta 90.00
_cell_angle_gamma 90.00
_space_group_name_H-M_alt 'I 4/m m m'
_space_group_IT_number 139
_space_group_name_Hall '-I 4 2'
loop_
_atom_site_label
_atom_site_type_symbol
_atom_site_fract_x
_atom_site_fract_y
_atom_site_fract_z
Li1 Li 0.2500 0.2500 0.2500
In1 In 0.0000 0.0000 0.0000
Ag1 Ag 0.0000 0.5000 0.0000



(12)
# Tl2FeAg, optimized geometry, DFT GGA-PBE
# Formation enthalpy at 0 K ... 0.5279 eV/atom
# Magnetic moment ... 2.74 μB per formula unit
# Uncorrected energy ... -27.87 eV for the cell shown
# Energy above the most stable polymorph in this dataset ... 118 meV/atom
data_Tl2FeAg
_cell_length_a 4.1382
_cell_length_b 4.1382
_cell_length_c 9.8838
_cell_angle_alpha 90.00
_cell_angle_beta 90.00
_cell_angle_gamma 90.00
_space_group_name_H-M_alt 'I -4 m 2'
_space_group_IT_number 119
_space_group_name_Hall 'I -4 -2'
loop_
_atom_site_label
_atom_site_type_symbol
_atom_site_fract_x
_atom_site_fract_y
_atom_site_fract_z
Tl1 Tl 0.0000 0.0000 0.0000
Tl2 Tl 0.0000 0.5000 0.2500
Fe1 Fe 0.0000 0.0000 0.5000
Ag1 Ag 0.0000 0.5000 0.7500



(13)
# CeEr2Rh3, optimized geometry, DFT GGA-PBE
# Formation enthalpy at 0 K ... -0.7812 eV/atom
# Magnetic moment ... 0.00 μB per formula unit
# Uncorrected energy ... -167.20 eV for the cell shown
# Energy above the most stable polymorph in this dataset ... 58 meV/atom
data_CeEr2Rh3
_cell_length_a 14.7877
_cell_length_b 5.1541
_cell_length_c 6.5245
_cell_angle_alpha 90.00
_cell_angle_beta 90.00
_cell_angle_gamma 90.00
_space_group_name_H-M_alt 'C m c m'
_space_group_IT_number 63
_space_group_name_Hall '-C 2c 2'
loop_
_atom_site_label
_atom_site_type_symbol
_atom_site_fract_x
_atom_site_fract_y
_atom_site_fract_z
Ce1 Ce 0.0000 0.1218 0.2500
Er1 Er 0.1667 0.5000 0.0000
Rh1 Rh 0.0000 0.3728 0.7500
Rh2 Rh 0.1720 0.0011 0.7500



(14)
# CrCo3Ni, optimized geometry, DFT GGA-PBE
# Formation enthalpy at 0 K ... 1.3035 eV/atom
# Magnetic moment ... 2.11 μB per formula unit
# Uncorrected energy ... -30.21 eV for the cell shown
# Energy above the most stable polymorph in this dataset ... 1254 meV/atom
data_CrCo3Ni
_cell_length_a 4.1180
_cell_length_b 4.1180
_cell_length_c 4.1180
_cell_angle_alpha 90.00
_cell_angle_beta 90.00
_cell_angle_gamma 90.00
_space_group_name_H-M_alt 'P m -3 m'
_space_group_IT_number 221
_space_group_name_Hall '-P 4 2 3'
loop_
_atom_site_label
_atom_site_type_symbol
_atom_site_fract_x
_atom_site_fract_y
_atom_site_fract_z
Cr1 Cr 0.0000 0.0000 0.0000
Co1 Co 0.0000 0.0000 0.5000
Ni1 Ni 0.5000 0.5000 0.5000



(15)
# Ba2ZnAu2, optimized geometry, DFT GGA-PBE
# Formation enthalpy at 0 K ... -0.6008 eV/atom
# Magnetic moment ... 0.00 μB per formula unit
# Uncorrected energy ... -58.71 eV for the cell shown
data_Ba2ZnAu2
_cell_length_a 12.2481
_cell_length_b 4.6403
_cell_length_c 12.3522
_cell_angle_alpha 90.00
_cell_angle_beta 116.73
_cell_angle_gamma 90.00
_space_group_name_H-M_alt 'C 1 2/m 1'
_space_group_IT_number 12
loop_
_space_group_symop_operation_xyz
'x,y,z'
'-x,-y,-z'
'-x,y,-z'
'x,-y,z'
'x+1/2,y+1/2,z'
'-x+1/2,-y+1/2,-z'
'-x+1/2,y+1/2,-z'
'x+1/2,-y+1/2,z'
loop_
_atom_site_label
_atom_site_type_symbol
_atom_site_fract_x
_atom_site_fract_y
_atom_site_fract_z
Ba1 Ba 0.0896 0.0000 0.3982
Ba2 Ba 0.1922 0.5000 0.1434
Zn1 Zn 0.0810 0.5000 0.8225
Au1 Au 0.0486 0.0000 0.9103
Au2 Au 0.1318 0.5000 0.6274



(16)
# Ba5ErTe6, optimized geometry, DFT GGA-PBE
# Magnetic moment ... 0.00 μB per formula unit
# Uncorrected energy ... -106.02 eV for the cell shown
# Uncorrected formation energy ... -1.665 eV/atom
data_Ba5ErTe6
_cell_length_a 8.4524
_cell_length_b 14.6169
_cell_length_c 8.4333
_cell_angle_alpha 90.00
_cell_angle_beta 109.62
_cell_angle_gamma 90.00
_space_group_name_H-M_alt 'C 1 2/m 1'
_space_group_IT_number 12
loop_
_space_group_symop_operation_xyz
'x,y,z'
'-x,-y,-z'
'-x,y,-z'
'x,-y,z'
'x+1/2,y+1/2,z'
'-x+1/2,-y+1/2,-z'
'-x+1/2,y+1/2,-z'
'x+1/2,-y+1/2,z'
loop_
_atom_site_label
_atom_site_type_symbol
_atom_site_fract_x
_atom_site_fract_y
_atom_site_fract_z
Ba1 Ba 0.0000 0.0000 0.0000
Ba2 Ba 0.0000 0.1648 0.5000
Ba3 Ba 0.0000 0.3269 0.0000
Er1 Er 0.0000 0.5000 0.5000
Te1 Te 0.2251 0.5000 0.2637
Te2 Te 0.2301 0.3464 0.7317



(17)
# Cs4NaCu3Cl12, optimized geometry, DFT GGA-PBE
# Magnetic moment ... 0.00 μB per formula unit
# Uncorrected energy ... -126.66 eV for the cell shown
# Uncorrected formation energy ... -1.208 eV/atom
data_Cs4NaCu3Cl12
_cell_length_a 10.2257
_cell_length_b 10.2257
_cell_length_c 10.2257
_cell_angle_alpha 90.00
_cell_angle_beta 90.00
_cell_angle_gamma 90.00
_space_group_name_H-M_alt 'I m -3 m'
_space_group_IT_number 229
_space_group_name_Hall '-I 4 2 3'
loop_
_atom_site_label
_atom_site_type_symbol
_atom_site_fract_x
_atom_site_fract_y
_atom_site_fract_z
Cs1 Cs 0.2500 0.2500 0.2500
Na1 Na 0.0000 0.0000 0.0000
Cu1 Cu 0.0000 0.0000 0.5000
Cl1 Cl 0.0000 0.0000 0.2779
Cl2 Cl 0.0000 0.2500 0.5000



(18)
# TbNi2Ge2, optimized geometry, DFT GGA-PBE
# Formation enthalpy at 0 K ... -0.6983 eV/atom
# Magnetic moment ... 0.00 μB per formula unit
# Uncorrected energy ... -57.84 eV for the cell shown
data_TbNi2Ge2
_cell_length_a 4.0814
_cell_length_b 4.0814
_cell_length_c 9.8008
_cell_angle_alpha 90.00
_cell_angle_beta 90.00
_cell_angle_gamma 90.00
_space_group_name_H-M_alt 'I 4/m m m'
_space_group_IT_number 139
_space_group_name_Hall '-I 4 2'
loop_
_atom_site_label
_atom_site_type_symbol
_atom_site_fract_x
_atom_site_fract_y
_atom_site_fract_z
Tb1 Tb 0.0000 0.0000 0.0000
Ni1 Ni 0.0000 0.5000 0.2500
Ge1 Ge 0.0000 0.0000 0.3709



(19)
# LaYSc4, optimized geometry, DFT GGA-PBE
# Formation enthalpy at 0 K ... 0.2255 eV/atom
# Magnetic moment ... 6.10 μB per formula unit
# Uncorrected energy ... -141.46 eV for the cell shown
# Energy above the most stable polymorph in this dataset ... 154 meV/atom
data_LaYSc4
_cell_length_a 8.9626
_cell_length_b 8.9626
_cell_length_c 8.9626
_cell_angle_alpha 90.00
_cell_angle_beta 90.00
_cell_angle_gamma 90.00
_space_group_name_H-M_alt 'F -4 3 m'
_space_group_IT_number 216
_space_group_name_Hall 'F -4 2 3'
loop_
_atom_site_label
_atom_site_type_symbol
_atom_site_fract_x
_atom_site_fract_y
_atom_site_fract_z
La1 La 0.0000 0.0000 0.0000
Y1 Y 0.2500 0.2500 0.2500
Sc1 Sc 0.1252 0.1252 0.6252



(20)
# Ce4Nd3ErSe8, optimized geometry, DFT GGA-PBE
# Magnetic moment ... 3.89 μB per formula unit
# Uncorrected energy ... -298.56 eV for the cell shown
# Uncorrected formation energy ... -1.815 eV/atom
data_Ce4Nd3ErSe8
_cell_length_a 8.3777
_cell_length_b 8.3777
_cell_length_c 20.6124
_cell_angle_alpha 90.00
_cell_angle_beta 90.00
_cell_angle_gamma 120.00
_space_group_name_H-M_alt 'R -3 m'
_space_group_IT_number 166
_space_group_name_Hall '-R 3 2"'
loop_
_atom_site_label
_atom_site_type_symbol
_atom_site_fract_x
_atom_site_fract_y
_atom_site_fract_z
Ce1 Ce 0.0000 0.0000 0.0000
Ce2 Ce 0.0000 0.5000 0.0000
Nd1 Nd 0.0000 0.5000 0.5000
Er1 Er 0.0000 0.0000 0.5000
Se1 Se 0.0000 0.0000 0.2507
Se2 Se 0.0085 0.5042 0.2486